Run w
First-principles (PBE-GGA) data for an optimized crystal structure of CaLaInPb, as listed in Alexandria.

* crystal system: cubic
* total magnetization: 0.000 Bohr magnetons per cell

Cell: 7.8938 7.8938 7.8938 Å, 90.00 90.00 90.00°
With the nearest neighbours (Å) after each atom.
Space group F-43m (No. 216)
Asymmetric unit:
Ca (0.0000, 0.0000, 0.0000) x4  4 In 3.42, 4 Pb 3.42
La (0.0000, 0.0000, 0.5000) x4  4 In 3.42, 4 Pb 3.42
In (0.2500, 0.2500, 0.7500) x4  4 La 3.42, 4 Ca 3.42
Pb (0.2500, 0.2500, 0.2500) x4  4 La 3.42, 4 Ca 3.42

---

Run x
First-principles (PBE-GGA) data for an optimized crystal structure of CaLaInPb, as listed in Alexandria.

* crystal system: orthorhombic
* total magnetization: 0.000 Bohr magnetons per cell

Cell: 4.5954 5.1298 5.1759 Å, 90.00 90.00 90.00°
With the nearest neighbours (Å) after each atom.
Space group Pmmm (No. 47)
Asymmetric unit:
Ca (0.0000, 0.0000, 0.0000) x1  4 In 3.44, 4 Pb 3.46, 4 La 3.64
La (0.0000, 0.5000, 0.5000) x1  4 Pb 3.44, 4 In 3.46, 4 Ca 3.64
In (0.5000, 0.5000, 0.0000) x1  4 Ca 3.44, 4 La 3.46, 4 Pb 3.64
Pb (0.5000, 0.0000, 0.5000) x1  4 La 3.44, 4 Ca 3.46, 4 In 3.64

---

run x is favored, and the nearest alternative lies 23 meV/atom above it.